Computed, not measured: a geometry-optimized BaHgO2 structure at the GGA-PBE level of DFT.

Summary:
Density of states at the Fermi level in states/eV/cell: 0.00
Uncorrected formation energy in kcal/mol of atoms: -35.4
SG: P6_322, No. 182

Unit cell a=6.9817 b=6.9817 c=12.6798 alpha=90.00 beta=90.00 gamma=120.00
Last column: nearest neighbours and their distance in Å.
Sites, in units of the cell vectors:
Hg 0.1748 0.8252 0.2500  2 O 2.02
Hg 0.6503 0.8252 0.2500  2 O 2.02
Hg 0.8252 0.1748 0.7500  2 O 2.02
Hg 0.3497 0.1748 0.7500  2 O 2.02
Hg 0.8252 0.6503 0.7500  2 O 2.02
Hg 0.1748 0.3497 0.2500  2 O 2.02
O 0.6501 0.6874 0.1098  1 Hg 2.02
O 0.6874 0.6501 0.8902  1 Hg 2.02
O 0.0373 0.3499 0.1098  1 Hg 2.02
O 0.3499 0.0373 0.8902  1 Hg 2.02
O 0.6874 0.0373 0.6098  1 Hg 2.02
O 0.3126 0.9627 0.1098  1 Hg 2.02
O 0.0373 0.6874 0.3902  1 Hg 2.02
O 0.6501 0.9627 0.3902  1 Hg 2.02
O 0.9627 0.6501 0.6098  1 Hg 2.02
O 0.9627 0.3126 0.8902  1 Hg 2.02
O 0.3499 0.3126 0.6098  1 Hg 2.02
O 0.3126 0.3499 0.3902  1 Hg 2.02
Ba 0.3333 0.6667 0.9675  6 O 2.71-2.80
Ba 0.6667 0.3333 0.4675  6 O 2.71-2.80
Ba 0.0000 0.0000 0.5000  6 O 2.71
Ba 0.3333 0.6667 0.5325  6 O 2.71-2.80
Ba 0.6667 0.3333 0.0325  6 O 2.71-2.80
Ba 0.0000 0.0000 0.0000  6 O 2.71